Entry 1:
This record from Alexandria describes a relaxed Na2AgSbCl8 crystal. The functional is PBE-GGA.

Unit cell a=6.290 b=6.459 c=9.008 alpha=89.99 beta=89.96 gamma=81.06
Fractional coordinates of all 12 atoms:
Na: 0.000 0.000 0.228
Na: 0.000 0.000 0.772
Ag: 0.500 0.500 0.000
Sb: 0.500 0.500 0.500
Cl: 0.227 0.806 0.000
Cl: 0.244 0.828 0.500
Cl: 0.295 0.362 0.308
Cl: 0.295 0.362 0.692
Cl: 0.705 0.638 0.308
Cl: 0.705 0.638 0.692
Cl: 0.756 0.172 0.500
Cl: 0.773 0.194 0.000

Properties
energy relative to the elements, uncorrected: -11.7 eV per formula unit

=====

Entry 2:
This record from Alexandria describes a relaxed Mg2BeTe crystal. The functional is PBE-GGA.

Unit cell a=8.588 b=8.588 c=8.588 alpha=23.08 beta=23.08 gamma=23.08
Fractional coordinates of all 4 atoms:
Mg: 0.239 0.239 0.239
Mg: 0.761 0.761 0.761
Be: 0.500 0.500 0.500
Te: 0.000 0.000 0.000

Properties
energy relative to the elements, uncorrected: 0.8 eV per formula unit
distance to the lowest polymorph of the same formula: 0.71 eV/f.u.

=====

Entry 3:
This record from Alexandria describes a relaxed GdTmBe2 crystal. The functional is PBE-GGA.

Unit cell a=3.392 b=3.392 c=6.816 alpha=90.00 beta=90.00 gamma=90.00
Fractional coordinates of all 4 atoms:
Gd: 0.000 0.000 0.000
Tm: 0.000 0.000 0.500
Be: 0.500 0.500 0.267
Be: 0.500 0.500 0.733

Properties
calculated formation energy: 0.09 eV per atom
distance to the lowest polymorph of the same formula: 0.00 eV/f.u.

=====

Entry 4:
This record from Alexandria describes a relaxed CsSiSN2 crystal. The functional is PBE-GGA.

Unit cell a=4.227 b=4.227 c=6.735 alpha=90.00 beta=90.00 gamma=90.00
Fractional coordinates of all 5 atoms:
Cs: 0.000 0.000 0.000
Si: 0.500 0.500 0.500
S: 0.000 0.000 0.500
N: 0.000 0.500 0.000
N: 0.500 0.000 0.000

Properties
energy relative to the elements, uncorrected: 12.7 eV per formula unit
distance to the lowest polymorph of the same formula: 8.40 eV/f.u.

=====

Number 1: M_tot 0.00 μB per formula unit, Fermi-level density of states 2.39 states/eV per cell. Number 2: M_tot 0.00 μB per formula unit, Fermi-level density of states 1.69 states/eV per cell. Number 3: M_tot 7.56 μB per formula unit, Fermi-level density of states 3.69 states/eV per cell. Number 4: M_tot 1.01 μB per formula unit, Fermi-level density of states 3.18 states/eV per cell.